Entry 1:
The following is a DFT calculation (PBE) of a geometry-optimized Li2ZnAg4 structure.

Lattice parameters (Å, degrees): 6.7820 6.7820 6.7820 109.24 109.24 109.93
Last column: nearest neighbours and their distance in Å.
Positions (direct):
Li  0.0017  0.6250  0.8767  8 Ag 2.68-2.74
Li  0.3750  0.2517  0.3767  8 Ag 2.68-2.74
Li  0.7483  0.1250  0.1233  8 Ag 2.68-2.74
Li  0.8750  0.9983  0.6233  8 Ag 2.68-2.74
Zn  0.2500  0.7500  0.5000  8 Ag 2.71-2.72
Zn  0.5000  0.5000  0.0000  8 Ag 2.71-2.72
Ag  0.1228  0.3749  0.5869  4 Li 2.68-2.74, 2 Zn 2.71-2.72, 3 Ag 2.92-2.94
Ag  0.1249  0.3728  0.0869  4 Li 2.68-2.74, 2 Zn 2.71-2.72, 3 Ag 2.92-2.94
Ag  0.2859  0.0380  0.9131  4 Li 2.68-2.74, 2 Zn 2.71-2.72, 3 Ag 2.92-2.94
Ag  0.4641  0.8772  0.2520  4 Li 2.68-2.74, 2 Zn 2.71-2.72, 3 Ag 2.92-2.94
Ag  0.6251  0.2120  0.7480  4 Li 2.68-2.74, 2 Zn 2.71-2.72, 3 Ag 2.92-2.94
Ag  0.6272  0.7141  0.7520  4 Li 2.68-2.74, 2 Zn 2.71-2.72, 3 Ag 2.92-2.94
Ag  0.7880  0.5359  0.4131  4 Li 2.68-2.74, 2 Zn 2.71-2.72, 3 Ag 2.92-2.94
Ag  0.9620  0.8751  0.2480  4 Li 2.68-2.74, 2 Zn 2.71-2.72, 3 Ag 2.92-2.94

For the energy above the most stable polymorph in this dataset, the calculation gives 0.33 eV/f.u. Its energy relative to the elements is -0.0373 eV/atom.

---

Entry 2:
The following is a DFT calculation (PBE) of a geometry-optimized TaTl3F8 structure.

Lattice parameters (Å, degrees): 8.4441 8.4441 7.7575 90.00 90.00 120.00
Last column: nearest neighbours and their distance in Å.
Positions (direct):
Ta  0.3333  0.6667  0.0000  6 F 1.93
Ta  0.6667  0.3333  0.5000  6 F 1.93
Tl  0.1583  0.3165  0.5144  2 F 2.56-2.79
Tl  0.1583  0.8417  0.5144  2 F 2.56-2.79
Tl  0.3165  0.1583  0.0144  2 F 2.56-2.79
Tl  0.6835  0.8417  0.5144  2 F 2.56-2.79
Tl  0.8417  0.1583  0.0144  2 F 2.56-2.79
Tl  0.8417  0.6835  0.0144  2 F 2.56-2.79
F  0.0000  0.0000  0.3126  3 Tl 2.79
F  0.0000  0.0000  0.8126  3 Tl 2.79
F  0.1164  0.5582  0.8591  1 Ta 1.93
F  0.2240  0.4480  0.1397  1 Ta 1.93
F  0.2240  0.7760  0.1397  1 Ta 1.93
F  0.3333  0.6667  0.4973  3 Tl 2.56
F  0.4418  0.5582  0.8591  1 Ta 1.93
F  0.4418  0.8836  0.8591  1 Ta 1.93
F  0.4480  0.2240  0.6397  1 Ta 1.93
F  0.5520  0.7760  0.1397  1 Ta 1.93
F  0.5582  0.1164  0.3591  1 Ta 1.93
F  0.5582  0.4418  0.3591  1 Ta 1.93
F  0.6667  0.3333  0.9973  3 Tl 2.56
F  0.7760  0.2240  0.6397  1 Ta 1.93
F  0.7760  0.5520  0.6397  1 Ta 1.93
F  0.8836  0.4418  0.3591  1 Ta 1.93

Its formation energy (no corrections) is -30.55 eV/f.u.

---

Entry 3:
The following is a DFT calculation (PBE) of a geometry-optimized IrAu3 structure.

Lattice parameters (Å, degrees): 5.7852 5.7852 4.7418 90.00 90.00 120.00
Last column: nearest neighbours and their distance in Å.
Positions (direct):
Ir  0.3333  0.6667  0.2500  12 Au 2.89
Ir  0.6667  0.3333  0.7500  12 Au 2.89
Au  0.1692  0.3384  0.7500  8 Au 2.85-2.94, 4 Ir 2.89
Au  0.1692  0.8308  0.7500  8 Au 2.85-2.94, 4 Ir 2.89
Au  0.3384  0.1692  0.2500  8 Au 2.85-2.94, 4 Ir 2.89
Au  0.6616  0.8308  0.7500  8 Au 2.85-2.94, 4 Ir 2.89
Au  0.8308  0.1692  0.2500  8 Au 2.85-2.94, 4 Ir 2.89
Au  0.8308  0.6616  0.2500  8 Au 2.85-2.94, 4 Ir 2.89

Its energy relative to the elements is 0.3960 eV/atom.

---

Entry 4:
The following is a DFT calculation (PBE) of a geometry-optimized AcLaPmPt2 structure.

Lattice parameters (Å, degrees): 8.0112 8.0112 11.5829 128.63 128.63 33.62
Last column: nearest neighbours and their distance in Å.
Positions (direct):
Ac  0.0469  0.0469  0.2284  5 Pt 3.16-3.43
Ac  0.9531  0.9531  0.7716  5 Pt 3.16-3.43
La  0.2576  0.2576  0.8694  4 Pt 3.00-3.11
La  0.7424  0.7424  0.1306  4 Pt 3.00-3.11
Pm  0.3696  0.3696  0.4565  5 Pt 2.87-3.08
Pm  0.6304  0.6304  0.5435  5 Pt 2.87-3.08
Pt  0.2682  0.2682  0.6148  3 Pm 2.87-3.08, 1 La 3.06, 2 Ac 3.16
Pt  0.3993  0.3993  0.2197  3 La 3.00-3.11, 2 Pm 3.05-3.06, 2 Ac 3.19
Pt  0.6007  0.6007  0.7803  3 La 3.00-3.11, 2 Pm 3.05-3.06, 2 Ac 3.19
Pt  0.7318  0.7318  0.3852  3 Pm 2.87-3.08, 1 La 3.06, 2 Ac 3.16

Its energy relative to the elements is -0.9362 eV/atom.

---

Total energy? In order: -2.395 -5.372 -4.277 -6.110 eV per atom.